DFT (PBE-GGA) results for an optimized crystal structure of Er4TlTe2Se.

Calculated values
The space-group type is P2/m, No. 10. As for the total DFT energy (no corrections): -0.3617 Ry per atom. Its raw formation energy is -25.90 kcal/mol of atoms.

abc: 7.415 4.218 7.491
angles: 90.00 108.89 90.00
Element x y z (fractional)
Er 0.240 0.000 0.226
Er 0.253 0.500 0.764
Er 0.747 0.500 0.236
Er 0.760 0.000 0.774
Tl 0.500 0.000 0.000
Te 0.000 0.000 0.500
Te 0.500 0.500 0.500
Se 0.000 0.500 0.000